Entry 1:
# MnHgS2

A relaxed MnHgS2 crystal (PBE-GGA, the Alexandria database).

Summary:
Distance to the lowest polymorph of the same formula   0.1041 eV per atom
Space group   P1 (1)
Theoretical density   4.717 Mg/m³
Electronic total energy   -4.739 eV/atom

```
MnHgS2
1.0
-1.163 5.320 -4.404
-4.180 -3.049 -6.205
-3.600 3.806 0.594
S Hg Mn
4 2 2
Direct
0.340 0.444 0.787
0.995 0.348 0.556
0.620 0.143 0.058
0.276 0.048 0.837
0.804 0.747 0.807
0.305 0.746 0.307
0.305 0.248 0.060
0.310 0.244 0.559
```


Entry 2:
# GdDyPdRh

A relaxed GdDyPdRh crystal (PBE-GGA, the Alexandria database).

Summary:
Space group   F-43m (216)
Energy of formation   -3.390 eV per formula unit
Theoretical density   10.392 Mg/m³
Electronic total energy   -8.654 eV/atom

```
GdDyPdRh
1.0
4.926 0.000 0.000
2.463 4.266 0.000
2.463 1.422 4.022
Pd Dy Gd Rh
1 1 1 1
Direct
0.000 0.000 0.000
0.250 0.250 0.250
0.750 0.750 0.750
0.500 0.500 0.500
```


Entry 3:
# Tb2PmTm3Bi6

A relaxed Tb2PmTm3Bi6 crystal (PBE-GGA, the Alexandria database).

Summary:
Space group   C2/m (12)
Energy of formation   -10.070 eV per formula unit
Theoretical density   9.697 Mg/m³
Electronic total energy   -5.065 eV/atom

```
Tb2PmTm3Bi6
1.0
4.478 0.000 0.000
0.000 8.947 0.328
-2.239 -2.568 9.410
Bi Tb Tm Pm
6 2 3 1
Direct
0.001 0.743 0.001
0.666 0.586 0.331
0.334 0.414 0.669
0.331 0.918 0.661
0.999 0.257 0.999
0.669 0.082 0.339
0.167 0.334 0.334
0.833 0.666 0.666
0.166 0.833 0.332
0.834 0.167 0.668
0.500 0.500 0.000
0.500 0.000 0.000
```